Computed, not measured: crystalline Tb6Nd2Sc3 at its relaxed geometry at the PBE-GGA level of DFT.

```
Tb6Nd2Sc3
1.0
3.008 -5.215 0.000
3.008 5.215 0.000
-2.019 0.000 11.268
Tb Nd Sc
6 2 3
direct
0.080 0.413 0.238
0.253 0.253 0.761
0.413 0.080 0.238
0.587 0.920 0.762
0.747 0.747 0.239
0.920 0.587 0.762
0.167 0.833 0.500
0.833 0.167 0.500
0.000 0.000 0.000
0.335 0.665 0.000
0.665 0.335 0.000
```

Calculated values
* calculated volume: 32.1 Å³/atom
* energy relative to the elements: 197 meV per atom